1.
La3Sm4Sc2 after structural relaxation. Source: the Alexandria database, functional PBE.

abc: 5.070 6.243 10.725
angles: 72.52 90.00 113.96
Element x y z (fractional)
Sc1 0.336 0.671 0.219
Sc2 0.664 0.329 0.781
La1 0.000 0.000 0.000
La2 0.671 0.342 0.446
La3 0.329 0.658 0.554
Sm1 0.668 0.337 0.109
Sm2 0.332 0.663 0.891
Sm3 0.005 0.009 0.328
Sm4 0.995 0.991 0.672

Calculated values
Formation energy in kJ/mol of formula units: 48

2.
K2LaSc after structural relaxation. Source: the Alexandria database, functional PBE.

abc: 14.470 14.470 14.470
angles: 14.51 14.51 14.51
Last column: magnetic moment on the atom in μB.
Element x y z (fractional)
La1 0.750 0.750 0.750  0.04
K1 0.504 0.504 0.504  0.01
K2 0.996 0.996 0.996  0.01
Sc1 0.250 0.250 0.250  0.59

Calculated values
Formation energy in kJ/mol of formula units: 204
Offset from the most stable computed form in eV/f.u.: 0.90

3.
RbIn2Ge after structural relaxation. Source: the Alexandria database, functional PBE.

abc: 8.915 8.915 7.188
angles: 51.67 51.67 90.00
Element x y z (fractional)
In1 0.875 0.792 0.750
In2 0.208 0.625 0.250
In3 0.375 0.458 0.750
In4 0.542 0.125 0.250
Rb1 0.000 0.000 0.000
Rb2 0.750 0.250 0.500
Ge1 0.500 0.500 0.000
Ge2 0.250 0.750 0.500

Calculated values
Formation energy in kJ/mol of formula units: 39

4.
La3Zn2Ga after structural relaxation. Source: the Alexandria database, functional PBE.

abc: 3.762 5.320 8.422
angles: 108.41 90.00 90.00
Element x y z (fractional)
Ga1 0.000 0.000 0.000
La1 0.500 0.835 0.670
La2 0.500 0.500 0.000
La3 0.500 0.165 0.330
Zn1 0.000 0.330 0.661
Zn2 0.000 0.670 0.339

Calculated values
Formation energy in kJ/mol of formula units: -232
Offset from the most stable computed form in eV/f.u.: 0.00

Calculated E (hartree per atom), listed in the same order as above: -0.1871 -0.1042 -0.0979 -0.1394